First-principles (PBE-GGA) data for an optimized crystal structure of ZrAsSe2, as listed in the Alexandria database.

a = 3.956 Å, b = 4.651 Å, c = 8.829 Å
α = 90.00°, β = 90.00°, γ = 90.00°
Atoms (fractional coordinates):
Zr 0.000 0.000 0.000
Zr 0.500 0.500 0.500
As 0.000 0.000 0.500
As 0.500 0.500 0.000
Se 0.000 0.500 0.204
Se 0.000 0.500 0.796
Se 0.500 0.000 0.296
Se 0.500 0.000 0.704

The formation energy from raw total energies comes out at -0.398 eV per atom.

---

First-principles (PBE-GGA) data for an optimized crystal structure of Zr2AsSe, as listed in the Alexandria database.

a = 3.703 Å, b = 3.703 Å, c = 6.022 Å
α = 90.00°, β = 90.00°, γ = 90.00°
Atoms (fractional coordinates):
Zr 0.000 0.000 0.000
Zr 0.500 0.500 0.338
As 0.000 0.000 0.474
Se 0.500 0.500 0.861

The energy above the most stable polymorph in this dataset is 20 meV/atom. The formation energy from raw total energies comes out at -1.128 eV per atom.

---

First-principles (PBE-GGA) data for an optimized crystal structure of ZrAs3Se, as listed in the Alexandria database.

a = 4.901 Å, b = 4.901 Å, c = 4.901 Å
α = 90.00°, β = 90.00°, γ = 90.00°
Atoms (fractional coordinates):
Zr 0.000 0.000 0.000
As 0.000 0.500 0.500
As 0.500 0.000 0.500
As 0.500 0.500 0.000
Se 0.500 0.500 0.500

The energy above the most stable polymorph in this dataset is 149 meV/atom. The formation energy from raw total energies comes out at 0.599 eV per atom.

---

First-principles (PBE-GGA) data for an optimized crystal structure of ZrAsSe2, as listed in the Alexandria database.

a = 3.514 Å, b = 3.514 Å, c = 25.463 Å
α = 90.00°, β = 90.00°, γ = 120.00°
Atoms (fractional coordinates):
Zr 0.000 0.000 0.000
Zr 0.333 0.667 0.667
Zr 0.667 0.333 0.333
As 0.000 0.000 0.500
As 0.333 0.667 0.167
As 0.667 0.333 0.833
Se 0.000 0.000 0.263
Se 0.000 0.000 0.737
Se 0.333 0.667 0.403
Se 0.333 0.667 0.930
Se 0.667 0.333 0.070
Se 0.667 0.333 0.597

The formation energy from raw total energies comes out at -0.477 eV per atom.

---

First-principles (PBE-GGA) data for an optimized crystal structure of ZrAsSe2, as listed in the Alexandria database.

a = 5.573 Å, b = 5.968 Å, c = 5.140 Å
α = 90.00°, β = 90.00°, γ = 90.00°
Atoms (fractional coordinates):
Zr 0.000 0.000 0.000
Zr 0.500 0.500 0.000
As 0.000 0.500 0.000
As 0.500 0.000 0.000
Se 0.000 0.220 0.500
Se 0.000 0.780 0.500
Se 0.500 0.280 0.500
Se 0.500 0.720 0.500

The formation energy from raw total energies comes out at -0.321 eV per atom.

---

First-principles (PBE-GGA) data for an optimized crystal structure of ZrAsSe3, as listed in the Alexandria database.

a = 4.934 Å, b = 4.934 Å, c = 4.934 Å
α = 90.00°, β = 90.00°, γ = 90.00°
Atoms (fractional coordinates):
Zr 0.000 0.000 0.000
As 0.500 0.500 0.500
Se 0.000 0.500 0.500
Se 0.500 0.000 0.500
Se 0.500 0.500 0.000

The energy above the most stable polymorph in this dataset is 265 meV/atom. The formation energy from raw total energies comes out at 0.242 eV per atom.

---

First-principles (PBE-GGA) data for an optimized crystal structure of ZrAsSe2, as listed in the Alexandria database.

a = 3.478 Å, b = 3.478 Å, c = 7.565 Å
α = 90.00°, β = 90.00°, γ = 90.00°
Atoms (fractional coordinates):
Zr 0.000 0.000 0.000
As 0.500 0.500 0.187
Se 0.000 0.000 0.378
Se 0.500 0.500 0.806

The formation energy from raw total energies comes out at -0.623 eV per atom.

---

First-principles (PBE-GGA) data for an optimized crystal structure of ZrAsSe2, as listed in the Alexandria database.

a = 3.401 Å, b = 3.401 Å, c = 6.896 Å
α = 90.00°, β = 90.00°, γ = 90.00°
Atoms (fractional coordinates):
Zr 0.000 0.000 0.000
As 0.000 0.000 0.500
Se 0.500 0.500 0.221
Se 0.500 0.500 0.779

The formation energy from raw total energies comes out at -0.555 eV per atom.

---

First-principles (PBE-GGA) data for an optimized crystal structure of ZrAsSe2, as listed in the Alexandria database.

a = 4.002 Å, b = 4.002 Å, c = 9.997 Å
α = 90.00°, β = 90.00°, γ = 90.00°
Atoms (fractional coordinates):
Zr 0.000 0.000 0.000
Zr 0.500 0.500 0.500
As 0.000 0.500 0.750
As 0.500 0.000 0.250
Se 0.000 0.000 0.500
Se 0.000 0.500 0.250
Se 0.500 0.000 0.750
Se 0.500 0.500 0.000

The formation energy from raw total energies comes out at -0.354 eV per atom.

---

First-principles (PBE-GGA) data for an optimized crystal structure of ZrAsSe2, as listed in the Alexandria database.

a = 4.779 Å, b = 3.673 Å, c = 9.664 Å
α = 90.00°, β = 90.00°, γ = 90.00°
Atoms (fractional coordinates):
Zr 0.000 0.000 0.000
Zr 0.000 0.500 0.500
As 0.500 0.000 0.587
As 0.500 0.500 0.087
Se 0.000 0.000 0.282
Se 0.000 0.500 0.782
Se 0.500 0.000 0.867
Se 0.500 0.500 0.367

The formation energy from raw total energies comes out at -0.558 eV per atom.

---

First-principles (PBE-GGA) data for an optimized crystal structure of ZrAsSe2, as listed in the Alexandria database.

a = 9.469 Å, b = 3.598 Å, c = 5.101 Å
α = 90.00°, β = 96.72°, γ = 90.00°
Atoms (fractional coordinates):
Zr 0.000 0.000 0.000
Zr 0.500 0.500 0.000
As 0.000 0.500 0.500
As 0.500 0.000 0.500
Se 0.204 0.500 0.213
Se 0.296 0.000 0.787
Se 0.704 0.000 0.213
Se 0.796 0.500 0.787

The formation energy from raw total energies comes out at -0.550 eV per atom.

---

First-principles (PBE-GGA) data for an optimized crystal structure of ZrAsSe4, as listed in the Alexandria database.

a = 5.605 Å, b = 5.605 Å, c = 5.605 Å
α = 60.00°, β = 60.00°, γ = 60.00°
Atoms (fractional coordinates):
Zr 0.000 0.000 0.000
As 0.750 0.750 0.750
Se 0.374 0.374 0.374
Se 0.374 0.374 0.878
Se 0.374 0.878 0.374
Se 0.878 0.374 0.374

The formation energy from raw total energies comes out at 0.425 eV per atom.

---

First-principles (PBE-GGA) data for an optimized crystal structure of ZrAs3Se, as listed in the Alexandria database.

a = 5.182 Å, b = 5.182 Å, c = 5.182 Å
α = 90.00°, β = 90.00°, γ = 90.00°
Atoms (fractional coordinates):
Zr 0.000 0.000 0.000
As 0.000 0.000 0.500
As 0.000 0.500 0.000
As 0.500 0.000 0.000
Se 0.500 0.500 0.500

The energy above the most stable polymorph in this dataset is 0 meV/atom. The formation energy from raw total energies comes out at 0.450 eV per atom.

---

First-principles (PBE-GGA) data for an optimized crystal structure of Zr2AsSe, as listed in the Alexandria database.

a = 3.746 Å, b = 3.746 Å, c = 20.448 Å
α = 90.00°, β = 90.00°, γ = 120.00°
Atoms (fractional coordinates):
Zr 0.000 0.000 0.000
Zr 0.000 0.000 0.178
Zr 0.333 0.667 0.667
Zr 0.333 0.667 0.844
Zr 0.667 0.333 0.333
Zr 0.667 0.333 0.511
As 0.000 0.000 0.589
As 0.333 0.667 0.256
As 0.667 0.333 0.923
Se 0.000 0.000 0.757
Se 0.333 0.667 0.423
Se 0.667 0.333 0.090

The energy above the most stable polymorph in this dataset is 0 meV/atom. The formation energy from raw total energies comes out at -1.149 eV per atom.

---

First-principles (PBE-GGA) data for an optimized crystal structure of Zr2AsSe, as listed in the Alexandria database.

a = 3.362 Å, b = 3.362 Å, c = 6.755 Å
α = 90.00°, β = 90.00°, γ = 90.00°
Atoms (fractional coordinates):
Zr 0.000 0.000 0.242
Zr 0.000 0.000 0.758
As 0.500 0.500 0.000
Se 0.500 0.500 0.500

The energy above the most stable polymorph in this dataset is 134 meV/atom. The formation energy from raw total energies comes out at -1.015 eV per atom.

---

First-principles (PBE-GGA) data for an optimized crystal structure of Zr2AsSe, as listed in the Alexandria database.

a = 6.053 Å, b = 6.053 Å, c = 12.119 Å
α = 90.00°, β = 90.00°, γ = 90.00°
Atoms (fractional coordinates):
Zr 0.246 0.250 0.125
Zr 0.250 0.746 0.375
Zr 0.250 0.754 0.875
Zr 0.254 0.250 0.625
Zr 0.746 0.750 0.625
Zr 0.750 0.246 0.875
Zr 0.750 0.254 0.375
Zr 0.754 0.750 0.125
As 0.000 0.000 0.000
As 0.000 0.500 0.250
As 0.500 0.000 0.750
As 0.500 0.500 0.500
Se 0.000 0.000 0.500
Se 0.000 0.500 0.750
Se 0.500 0.000 0.250
Se 0.500 0.500 0.000

The energy above the most stable polymorph in this dataset is 603 meV/atom. The formation energy from raw total energies comes out at -0.545 eV per atom.

---

First-principles (PBE-GGA) data for an optimized crystal structure of ZrAsSe2, as listed in the Alexandria database.

a = 6.852 Å, b = 6.852 Å, c = 6.852 Å
α = 90.00°, β = 90.00°, γ = 90.00°
Atoms (fractional coordinates):
Zr 0.000 0.000 0.000
Zr 0.000 0.500 0.500
Zr 0.500 0.000 0.500
Zr 0.500 0.500 0.000
As 0.250 0.250 0.250
As 0.250 0.750 0.750
As 0.750 0.250 0.750
As 0.750 0.750 0.250
Se 0.000 0.000 0.500
Se 0.000 0.500 0.000
Se 0.250 0.250 0.750
Se 0.250 0.750 0.250
Se 0.500 0.000 0.000
Se 0.500 0.500 0.500
Se 0.750 0.250 0.250
Se 0.750 0.750 0.750

The formation energy from raw total energies comes out at -0.101 eV per atom.

---

First-principles (PBE-GGA) data for an optimized crystal structure of ZrAsSe3, as listed in the Alexandria database.

a = 5.221 Å, b = 5.221 Å, c = 5.221 Å
α = 90.00°, β = 90.00°, γ = 90.00°
Atoms (fractional coordinates):
Zr 0.000 0.000 0.000
As 0.500 0.500 0.500
Se 0.000 0.000 0.500
Se 0.000 0.500 0.000
Se 0.500 0.000 0.000

The energy above the most stable polymorph in this dataset is 0 meV/atom. The formation energy from raw total energies comes out at -0.022 eV per atom.

---

First-principles (PBE-GGA) data for an optimized crystal structure of Zr4AsSe2, as listed in the Alexandria database.

a = 5.027 Å, b = 5.027 Å, c = 13.516 Å
α = 90.00°, β = 90.00°, γ = 90.00°
Atoms (fractional coordinates):
Zr 0.000 0.000 0.196
Zr 0.000 0.000 0.804
Zr 0.000 0.500 0.000
Zr 0.000 0.500 0.500
Zr 0.500 0.000 0.000
Zr 0.500 0.000 0.500
Zr 0.500 0.500 0.304
Zr 0.500 0.500 0.696
As 0.000 0.000 0.000
As 0.500 0.500 0.500
Se 0.000 0.000 0.388
Se 0.000 0.000 0.612
Se 0.500 0.500 0.112
Se 0.500 0.500 0.888

The formation energy from raw total energies comes out at -0.312 eV per atom.

---

First-principles (PBE-GGA) data for an optimized crystal structure of Zr3AsSe, as listed in the Alexandria database.

a = 4.966 Å, b = 4.966 Å, c = 4.966 Å
α = 90.00°, β = 90.00°, γ = 90.00°
Atoms (fractional coordinates):
Zr 0.000 0.000 0.500
Zr 0.000 0.500 0.000
Zr 0.500 0.000 0.000
As 0.500 0.500 0.500
Se 0.000 0.000 0.000

The energy above the most stable polymorph in this dataset is 0 meV/atom. The formation energy from raw total energies comes out at 0.058 eV per atom.